The following is a DFT calculation (PBE) of crystalline Pm2TmHg3 at its relaxed geometry.

Calculated values
size of the total moment	0.920	Bohr magnetons per cell
formation enthalpy at 0 K	-273	kJ/mol of formula units
SG	P4/mmm, No. 123
density of states at the Fermi level	1.107	states/eV per atom

Structure (POSCAR):
```
Pm2TmHg3
1.0
-1.7191 1.5935 -2.9171
-3.2757 -0.2550 1.7912
1.7264 10.3356 4.6287
Pm Tm Hg
2 1 3
Direct
0.5000 0.5000 0.8289
0.5000 0.5000 0.1711
0.5000 0.5000 0.5000
0.0000 0.0000 0.0000
0.0000 0.0000 0.6525
0.0000 0.0000 0.3475
```


The following is a DFT calculation (PBE) of crystalline PmTm3Hg4 at its relaxed geometry.

Calculated values
size of the total moment	0.002	Bohr magnetons per cell
E above lowest polymorph	193	meV/atom
formation enthalpy at 0 K	-215	kJ/mol of formula units
SG	C2/m, No. 12
density of states at the Fermi level	0.850	states/eV per atom

Structure (POSCAR):
```
PmTm3Hg4
1.0
-2.6927 -3.9245 2.2145
-1.9580 -1.6805 -5.3589
7.5380 -1.4727 0.3341
Pm Tm Hg
1 3 4
Direct
0.5000 0.0000 0.0000
0.0000 0.5000 0.0000
0.1717 0.0801 0.3433
0.8283 0.9199 0.6567
0.2549 0.6697 0.5097
0.7451 0.3303 0.4903
0.6128 0.6393 0.2256
0.3872 0.3607 0.7744
```


The following is a DFT calculation (PBE) of crystalline PmTm4Hg5 at its relaxed geometry.

Calculated values
size of the total moment	0.453	Bohr magnetons per cell
formation enthalpy at 0 K	-462	kJ/mol of formula units
SG	P4/mmm, No. 123
density of states at the Fermi level	0.747	states/eV per atom

Structure (POSCAR):
```
PmTm4Hg5
1.0
3.6889 0.0000 0.0000
0.0000 3.6889 0.0000
0.0000 0.0000 18.6432
Pm Tm Hg
1 4 5
Direct
0.0000 0.0000 0.0000
0.0000 0.0000 0.2055
0.0000 0.0000 0.4021
0.0000 0.0000 0.5979
0.0000 0.0000 0.7945
0.5000 0.5000 0.1102
0.5000 0.5000 0.3036
0.5000 0.5000 0.5000
0.5000 0.5000 0.6964
0.5000 0.5000 0.8898
```


The following is a DFT calculation (PBE) of crystalline Pm2TmHg4 at its relaxed geometry.

Calculated values
size of the total moment	0.000	Bohr magnetons per cell
E above lowest polymorph	310	meV/atom
formation enthalpy at 0 K	-26	kJ/mol of formula units
SG	I4/mmm, No. 139
density of states at the Fermi level	0.944	states/eV per atom

Structure (POSCAR):
```
Pm2TmHg4
1.0
-3.1577 4.3387 -1.5354
-4.1946 -3.4794 -1.2051
1.0377 0.2280 8.6551
Pm Tm Hg
2 1 4
Direct
0.6072 0.6072 0.2144
0.3928 0.3928 0.7856
0.0000 0.0000 0.0000
0.8080 0.8080 0.6160
0.1920 0.1920 0.3840
0.0000 0.5000 0.0000
0.5000 0.0000 0.0000
```


The following is a DFT calculation (PBE) of crystalline PmTmHg4 at its relaxed geometry.

Calculated values
size of the total moment	0.126	Bohr magnetons per cell
E above lowest polymorph	0	meV/atom
formation enthalpy at 0 K	-196	kJ/mol of formula units
SG	C2/m, No. 12
density of states at the Fermi level	0.671	states/eV per atom

Structure (POSCAR):
```
PmTmHg4
1.0
3.7129 0.0000 1.0739
2.0500 5.2970 -0.1324
-0.2696 -1.5170 7.8874
Pm Tm Hg
1 1 4
Direct
0.5000 0.5000 0.5000
0.0000 0.0000 0.0000
0.8246 0.5078 0.8430
0.3440 0.9893 0.3227
0.1754 0.4922 0.1570
0.6560 0.0107 0.6773
```


The following is a DFT calculation (PBE) of crystalline Pm5TmHg6 at its relaxed geometry.

Calculated values
size of the total moment	2.158	Bohr magnetons per cell
formation enthalpy at 0 K	-545	kJ/mol of formula units
SG	Cmmm, No. 65
density of states at the Fermi level	1.177	states/eV per atom

Structure (POSCAR):
```
Pm5TmHg6
1.0
0.5650 0.7065 5.2601
-5.2224 -5.4011 1.2865
6.0736 -5.2163 2.7560
Tm Hg Pm
1 6 5
Direct
0.0000 0.0000 0.0000
0.8379 0.7559 0.3242
0.8379 0.2441 0.3242
0.5000 0.2413 0.0000
0.5000 0.7587 0.0000
0.1621 0.7559 0.6758
0.1621 0.2441 0.6758
0.6693 0.5000 0.6614
0.3337 0.0000 0.3326
0.0000 0.5000 0.0000
0.6663 0.0000 0.6674
0.3307 0.5000 0.3386
```


The following is a DFT calculation (PBE) of crystalline PmTm4Hg at its relaxed geometry.

Calculated values
size of the total moment	0.000	Bohr magnetons per cell
E above lowest polymorph	96	meV/atom
formation enthalpy at 0 K	-25	kJ/mol of formula units
SG	C2/c, No. 15
density of states at the Fermi level	1.327	states/eV per atom

Structure (POSCAR):
```
PmTm4Hg
1.0
-0.6121 5.9895 1.7905
-7.5056 -3.3910 -3.3213
2.1977 -3.3826 7.0982
Pm Tm Hg
2 8 2
Direct
0.3454 0.5954 0.1908
0.6546 0.4046 0.8092
0.0343 0.1624 0.7625
0.7580 0.7131 0.6244
0.2282 0.6001 0.7625
0.3664 0.9113 0.6244
0.6336 0.0887 0.3756
0.7718 0.3999 0.2375
0.2420 0.2869 0.3756
0.9657 0.8376 0.2375
0.2505 0.0005 0.0010
0.7495 0.9995 0.9990
```


The following is a DFT calculation (PBE) of crystalline PmTm5Hg6 at its relaxed geometry.

Calculated values
size of the total moment	0.003	Bohr magnetons per cell
formation enthalpy at 0 K	-545	kJ/mol of formula units
SG	Immm, No. 71
density of states at the Fermi level	0.877	states/eV per atom

Structure (POSCAR):
```
PmTm5Hg6
1.0
-1.9830 0.5112 -4.7851
-4.8634 -6.4018 4.1648
0.4447 8.3225 3.5382
Tm Hg Pm
5 6 1
Direct
0.5000 0.1646 0.8354
0.0000 0.3319 0.6681
0.5000 0.5000 0.5000
0.0000 0.6681 0.3319
0.5000 0.8354 0.1646
0.2582 0.0879 0.4277
0.7418 0.5723 0.9121
0.7634 0.2639 0.2639
0.2366 0.7361 0.7361
0.2582 0.4277 0.0879
0.7418 0.9121 0.5723
0.0000 0.0000 0.0000
```


The following is a DFT calculation (PBE) of crystalline Pm2Tm3Hg6 at its relaxed geometry.

Calculated values
size of the total moment	0.392	Bohr magnetons per cell
formation enthalpy at 0 K	-113	kJ/mol of formula units
SG	I4/mmm, No. 139
density of states at the Fermi level	0.716	states/eV per atom

Structure (POSCAR):
```
Pm2Tm3Hg6
1.0
5.0617 0.0000 0.0000
0.0000 5.0617 0.0000
-2.5309 -2.5309 13.3699
Pm Tm Hg
2 3 6
Direct
0.3644 0.3644 0.7288
0.6356 0.6356 0.2712
0.0000 0.0000 0.0000
0.8688 0.8688 0.7377
0.1312 0.1312 0.2623
0.0642 0.5642 0.1285
0.5642 0.0642 0.1285
0.9358 0.4358 0.8715
0.4358 0.9358 0.8715
0.7541 0.7541 0.5082
0.2459 0.2459 0.4918
```


The following is a DFT calculation (PBE) of crystalline PmTm2Hg6 at its relaxed geometry.

Calculated values
size of the total moment	0.000	Bohr magnetons per cell
E above lowest polymorph	0	meV/atom
formation enthalpy at 0 K	-335	kJ/mol of formula units
SG	C2/c, No. 15
density of states at the Fermi level	0.429	states/eV per atom

Structure (POSCAR):
```
PmTm2Hg6
1.0
-1.1065 4.9614 -1.9203
-7.7183 -2.1584 -4.6694
-6.6103 2.2578 6.1024
Pm Tm Hg
2 4 12
Direct
0.2500 0.1267 0.8733
0.7500 0.8733 0.1267
0.4146 0.5422 0.7904
0.0854 0.2096 0.4578
0.5854 0.4578 0.2096
0.9146 0.7904 0.5422
0.4701 0.6763 0.4323
0.0299 0.5677 0.3237
0.5299 0.3237 0.5677
0.9701 0.4323 0.6763
0.6382 0.1005 0.3532
0.8618 0.6468 0.8995
0.3618 0.8995 0.6468
0.1382 0.3532 0.1005
0.3050 0.7565 0.0125
0.1950 0.9875 0.2435
0.6950 0.2435 0.9875
0.8050 0.0125 0.7565
```


The following is a DFT calculation (PBE) of crystalline Pm2Tm2Hg7 at its relaxed geometry.

Calculated values
size of the total moment	0.000	Bohr magnetons per cell
formation enthalpy at 0 K	-82	kJ/mol of formula units
SG	Cmmm, No. 65
density of states at the Fermi level	0.940	states/eV per atom

Structure (POSCAR):
```
Pm2Tm2Hg7
1.0
6.7201 -0.0026 -0.5878
0.0034 7.5625 0.0033
-1.0053 -0.0026 6.6704
Pm Tm Hg
2 2 7
Direct
0.7013 0.0000 0.2987
0.2987 0.0000 0.7013
0.8010 0.5000 0.8010
0.1990 0.5000 0.1990
0.9998 0.2998 0.5003
0.5003 0.7002 0.9998
0.0002 0.7002 0.4997
0.4997 0.2998 0.0002
0.0000 0.0000 0.0000
0.5002 0.7075 0.4998
0.4998 0.2925 0.5002
```


The following is a DFT calculation (PBE) of crystalline PmTm3Hg12 at its relaxed geometry.

Calculated values
size of the total moment	0.000	Bohr magnetons per cell
formation enthalpy at 0 K	-458	kJ/mol of formula units
SG	P4/mmm, No. 123
density of states at the Fermi level	0.578	states/eV per atom

Structure (POSCAR):
```
PmTm3Hg12
1.0
-2.7817 -0.5332 -3.5089
0.8788 -4.4228 -0.0246
-14.6531 -2.9788 12.0688
Pm Tm Hg
1 3 12
Direct
0.0000 0.0000 0.0000
0.0000 0.0000 0.2530
0.0000 0.0000 0.5000
0.0000 0.0000 0.7470
0.5000 0.5000 0.0000
0.5000 0.5000 0.2524
0.5000 0.5000 0.5000
0.5000 0.5000 0.7476
0.5000 0.0000 0.1290
0.5000 0.0000 0.3762
0.5000 0.0000 0.6238
0.5000 0.0000 0.8710
0.0000 0.5000 0.1290
0.0000 0.5000 0.3762
0.0000 0.5000 0.6238
0.0000 0.5000 0.8710
```


> What is the size of the total moment in the third record?

0.453 Bohr magnetons per cell


Please write out number 12 again, unchanged.
The following is a DFT calculation (PBE) of crystalline PmTm3Hg12 at its relaxed geometry.

Calculated values
size of the total moment	0.000	Bohr magnetons per cell
formation enthalpy at 0 K	-458	kJ/mol of formula units
SG	P4/mmm, No. 123
density of states at the Fermi level	0.578	states/eV per atom

Structure (POSCAR):
```
PmTm3Hg12
1.0
-2.7817 -0.5332 -3.5089
0.8788 -4.4228 -0.0246
-14.6531 -2.9788 12.0688
Pm Tm Hg
1 3 12
Direct
0.0000 0.0000 0.0000
0.0000 0.0000 0.2530
0.0000 0.0000 0.5000
0.0000 0.0000 0.7470
0.5000 0.5000 0.0000
0.5000 0.5000 0.2524
0.5000 0.5000 0.5000
0.5000 0.5000 0.7476
0.5000 0.0000 0.1290
0.5000 0.0000 0.3762
0.5000 0.0000 0.6238
0.5000 0.0000 0.8710
0.0000 0.5000 0.1290
0.0000 0.5000 0.3762
0.0000 0.5000 0.6238
0.0000 0.5000 0.8710
```


Please write out number 1 again, unchanged.
The following is a DFT calculation (PBE) of crystalline Pm2TmHg3 at its relaxed geometry.

Calculated values
size of the total moment	0.920	Bohr magnetons per cell
formation enthalpy at 0 K	-273	kJ/mol of formula units
SG	P4/mmm, No. 123
density of states at the Fermi level	1.107	states/eV per atom

Structure (POSCAR):
```
Pm2TmHg3
1.0
-1.7191 1.5935 -2.9171
-3.2757 -0.2550 1.7912
1.7264 10.3356 4.6287
Pm Tm Hg
2 1 3
Direct
0.5000 0.5000 0.8289
0.5000 0.5000 0.1711
0.5000 0.5000 0.5000
0.0000 0.0000 0.0000
0.0000 0.0000 0.6525
0.0000 0.0000 0.3475
```


> The highest size of the total moment belongs to which entry?

Pm5TmHg6